# 1
SrLi3Pb9: relaxed, PBE.

Output
D(E_F) ... 0.473 states/eV per atom
ΔE_f ... -237 kJ/mol of formula units
SG ... C2/m, No. 12
Theoretical density ... 8.74 g/cm3
DFT total energy ... -3.33 eV per atom

abc: 6.2139 7.9538 8.5863
angles: 83.34 68.79 71.30
Sites, in units of the cell vectors:
Pb 0.2961 0.2126 0.2249
Pb 0.9742 0.6616 0.3598
Pb 0.0000 0.5000 0.0000
Pb 0.5210 0.2126 0.7751
Pb 0.4790 0.7874 0.2249
Pb 0.3341 0.6616 0.6402
Pb 0.7039 0.7874 0.7751
Pb 0.0258 0.3384 0.6402
Pb 0.6659 0.3384 0.3598
Li 0.0000 0.0000 0.5000
Li 0.5000 0.0000 0.5000
Li 0.5000 0.5000 0.0000
Sr 0.0000 0.0000 0.0000


# 2
SrLi4Pb8: relaxed, PBE.

Output
D(E_F) ... 0.338 states/eV per atom
ΔE_f ... -301 kJ/mol of formula units
SG ... I4/mmm, No. 139
Theoretical density ... 8.32 g/cm3
DFT total energy ... -3.24 eV per atom

abc: 6.2826 8.1365 8.1365
angles: 81.43 67.29 67.29
Sites, in units of the cell vectors:
Pb 0.7207 0.7793 0.7793
Pb 0.5000 0.7793 0.2207
Pb 0.5000 0.2207 0.7793
Pb 0.3426 0.6574 0.6574
Pb 0.0000 0.3426 0.6574
Pb 0.6574 0.3426 0.3426
Pb 0.0000 0.6574 0.3426
Pb 0.2793 0.2207 0.2207
Sr 0.0000 0.0000 0.0000
Li 0.5000 0.0000 0.5000
Li 0.0000 0.5000 0.0000
Li 0.5000 0.5000 0.0000
Li 0.0000 0.0000 0.5000


# 3
Sr3Li2Pb9: relaxed, PBE.

Output
D(E_F) ... 0.603 states/eV per atom
ΔE_f ... -382 kJ/mol of formula units
SG ... P-3m1, No. 164
Theoretical density ... 8.31 g/cm3
DFT total energy ... -3.30 eV per atom

abc: 7.3055 7.3055 9.2594
angles: 90.00 90.00 120.00
Sites, in units of the cell vectors:
Pb 0.7005 0.8503 0.6490
Pb 0.5000 0.0000 0.0000
Pb 0.0000 0.5000 0.0000
Pb 0.8503 0.7005 0.3510
Pb 0.1497 0.2995 0.6490
Pb 0.1497 0.8503 0.6490
Pb 0.2995 0.1497 0.3510
Pb 0.8503 0.1497 0.3510
Pb 0.5000 0.5000 0.0000
Sr 0.6667 0.3333 0.6667
Sr 0.3333 0.6667 0.3333
Sr 0.0000 0.0000 0.0000
Li 0.3333 0.6667 0.8009
Li 0.6667 0.3333 0.1991